[1]
The following is a GGA-PBE calculation of a relaxed structure of Al3Ag5, from Alexandria.

Lattice parameters (Å, degrees): 7.6284 7.6253 7.8871 98.45 98.47 138.24
With the nearest neighbours (Å) after each atom.
Positions (direct):
Ag1 0.2591 0.4162 0.7009  5 Al 2.68-2.93, 2 Ag 2.91-2.96
Ag2 0.9151 0.7597 0.7005  5 Al 2.68-2.92, 2 Ag 2.90-2.96
Ag3 0.6023 0.3046 0.8483  5 Al 2.69-2.86, 2 Ag 2.89-2.96
Ag4 0.7576 0.2582 0.5137  4 Ag 2.73-3.03, 4 Al 2.78-2.85
Ag5 0.3978 0.6949 0.1506  5 Al 2.70-2.87, 2 Ag 2.89-2.96
Ag6 0.7402 0.5852 0.2994  5 Al 2.68-2.92, 2 Ag 2.90-2.96
Ag7 0.2411 0.7419 0.4863  4 Ag 2.73-3.04, 4 Al 2.78-2.85
Ag8 0.1948 0.8970 0.1516  5 Al 2.69-2.86, 2 Ag 2.89-2.96
Ag9 0.8052 0.1025 0.8498  5 Al 2.69-2.87, 2 Ag 2.89-2.96
Ag10 0.0829 0.2400 0.2989  5 Al 2.68-2.92, 2 Ag 2.91-2.96
Al1 0.6690 0.8292 0.5002  8 Ag 2.68-2.93
Al2 0.7535 0.2547 0.1562  8 Ag 2.69-2.87, 1 Al 2.84
Al3 0.2600 0.2396 0.0000  8 Ag 2.68-2.89, 2 Al 2.73
Al4 0.7401 0.7593 0.9998  8 Ag 2.68-2.88, 2 Al 2.73
Al5 0.3295 0.1712 0.5000  8 Ag 2.68-2.92
Al6 0.2451 0.7460 0.8439  8 Ag 2.69-2.87, 1 Al 2.84

Calculated values
Density of states at the Fermi level in states/eV/cell: 3.56
Formation energy in meV/atom: 1
E_tot in eV/atom: -3.185
Polymorph energy (0 for the lowest one) in meV/atom: 51



[2]
The following is a GGA-PBE calculation of a relaxed structure of Al3Ag5, from Alexandria.

Lattice parameters (Å, degrees): 5.0445 6.3453 5.0445 104.75 109.50 104.75
With the nearest neighbours (Å) after each atom.
Positions (direct):
Al1 0.7464 0.4948 0.7469  9 Ag 2.78-2.94, 3 Al 2.79-2.93
Al2 0.3758 0.7500 0.8742  8 Ag 2.76-2.91, 4 Al 2.89-2.93
Al3 0.5031 0.0052 0.5036  9 Ag 2.78-2.94, 3 Al 2.79-2.93
Ag1 0.2564 0.5168 0.2553  5 Al 2.78-2.92, 7 Ag 2.85-3.04
Ag2 0.6179 0.2346 0.1173  5 Al 2.76-2.94, 7 Ag 2.89-3.00
Ag3 0.1327 0.2654 0.6321  5 Al 2.76-2.94, 7 Ag 2.89-3.00
Ag4 0.8730 0.7500 0.3770  6 Ag 2.85-2.94, 6 Al 2.88-2.94
Ag5 0.9947 0.9832 0.9936  5 Al 2.78-2.92, 7 Ag 2.85-3.04

Calculated values
Density of states at the Fermi level in states/eV/cell: 1.44
Formation energy in meV/atom: -32
E_tot in eV/atom: -3.217
Polymorph energy (0 for the lowest one) in meV/atom: 18



[3]
The following is a GGA-PBE calculation of a relaxed structure of Al5Ag, from Alexandria.

Lattice parameters (Å, degrees): 2.9050 2.9050 11.8610 90.00 90.00 90.00
With the nearest neighbours (Å) after each atom.
Positions (direct):
Al1 0.0000 0.0000 0.1677  4 Ag 2.86, 8 Al 2.87-2.90
Al2 0.0000 0.0000 0.8323  4 Ag 2.86, 8 Al 2.87-2.90
Al3 0.5000 0.5000 0.6632  12 Al 2.82-2.90
Al4 0.5000 0.5000 0.3368  12 Al 2.82-2.90
Al5 0.0000 0.0000 0.5000  12 Al 2.82-2.90
Ag1 0.5000 0.5000 0.0000  8 Al 2.86, 4 Ag 2.90

Calculated values
Density of states at the Fermi level in states/eV/cell: 2.00
Formation energy in meV/atom: 6
E_tot in eV/atom: -3.588
Polymorph energy (0 for the lowest one) in meV/atom: 16



[4]
The following is a GGA-PBE calculation of a relaxed structure of AlAg, from Alexandria.

Lattice parameters (Å, degrees): 5.1042 6.2819 5.1042 106.65 108.23 106.65
With the nearest neighbours (Å) after each atom.
Positions (direct):
Ag1 0.5059 0.0000 0.4941  6 Al 2.74-2.97, 6 Ag 2.89-2.99
Ag2 0.8859 0.7527 0.3859  7 Al 2.75-3.02, 5 Ag 2.77-2.90
Ag3 0.9941 0.0000 0.0059  6 Al 2.74-2.97, 6 Ag 2.89-2.99
Ag4 0.6141 0.2473 0.1141  7 Al 2.75-3.02, 5 Ag 2.77-2.90
Al1 0.1229 0.2547 0.6229  5 Al 2.69-2.89, 6 Ag 2.75-2.97
Al2 0.7500 0.5000 0.7500  6 Ag 2.74-2.92, 6 Al 2.88-2.99
Al3 0.3771 0.7453 0.8771  5 Al 2.69-2.89, 6 Ag 2.75-2.97
Al4 0.2500 0.5000 0.2500  6 Ag 2.74-2.92, 6 Al 2.88-2.99

Calculated values
Density of states at the Fermi level in states/eV/cell: 2.25
Formation energy in meV/atom: -10
E_tot in eV/atom: -3.307